VASP calculation (PBE+U) on a relaxed structure of TlVF3.

uncorrected energy	-26.8	eV/f.u.
magnetic moment	3.0	μB per formula unit

Cell lengths 4.176, 6.572, 5.836 Å; angles 90.00, 90.06, 90.00 degrees
Space group P2_1/m (No. 11)
Symmetry-distinct sites (fractional):
Tl (0.000, 0.250, 0.000)
V (0.500, 0.250, 0.500)
F (0.000, 0.250, 0.500)
F (0.499, 0.000, 0.265)